Entry 1:
A plane-wave DFT calculation with PBE was carried out for a geometry-optimized Sr2SnSbSe5 structure.

Cell: 4.4119 9.5534 12.8267 Å, 90.00 90.00 103.35°
Closest atoms and distances in Å follow each position.
Sites, in units of the cell vectors:
Sr1 0.8704 0.7408 0.8074  8 Se 3.24-3.43
Sr2 0.1101 0.2201 0.6790  6 Se 3.12-3.27
Sr3 0.1296 0.2592 0.3074  8 Se 3.24-3.43
Sr4 0.8899 0.7799 0.1790  6 Se 3.12-3.27
Sn1 0.5568 0.1137 0.9511  4 Se 2.64-2.72
Sn2 0.4432 0.8863 0.4511  4 Se 2.64-2.72
Sb1 0.7809 0.5618 0.5234  3 Se 2.68-2.89
Sb2 0.2191 0.4382 0.0234  3 Se 2.68-2.89
Se1 0.3621 0.7243 0.9966  1 Sb 2.68
Se2 0.6896 0.3791 0.8618  1 Sn 2.72
Se3 0.4948 0.9897 0.7657  1 Sn 2.64
Se4 0.2777 0.5553 0.6684  2 Sb 2.89, 1 Sr 3.12
Se5 0.9506 0.9012 0.5706  2 Sn 2.69
Se6 0.6379 0.2757 0.4966  1 Sb 2.68
Se7 0.3104 0.6209 0.3618  1 Sn 2.72
Se8 0.5052 0.0103 0.2657  1 Sn 2.64
Se9 0.7223 0.4447 0.1684  2 Sb 2.89, 1 Sr 3.12
Se10 0.0494 0.0988 0.0706  2 Sn 2.69

Properties
total magnetization	0.00	μB/cell
symmetry	Cmc2_1, No. 36
formation energy without anion corrections	-24.09	kcal/mol of atoms
final energy	-4.257	eV/atom

---

Entry 2:
A plane-wave DFT calculation with PBE was carried out for a geometry-optimized PmAs2Au structure.

Cell: 4.1043 4.1043 10.7179 Å, 101.07 101.07 89.81°
Closest atoms and distances in Å follow each position.
Sites, in units of the cell vectors:
Pm1 0.1203 0.1203 0.2338  8 As 3.02-3.20
Pm2 0.8865 0.8865 0.7662  8 As 3.02-3.20
As1 0.3456 0.3456 0.6843  4 Au 2.78-2.81, 4 Pm 3.02-3.03
As2 0.6613 0.6613 0.3157  4 Au 2.78-2.81, 4 Pm 3.02-3.03
As3 0.9565 0.5121 0.0000  1 As 2.58
As4 0.5121 0.9565 0.0000  1 As 2.58
Au1 0.2587 0.7587 0.5000  4 As 2.78-2.81, 4 Au 2.90-2.91
Au2 0.7587 0.2587 0.5000  4 As 2.78-2.81, 4 Au 2.90-2.91

Properties
total magnetization	0.00	μB/cell
energy above the lowest structure with this stoichiometry	0.000	eV/atom
energy of formation from the pure elements	-755	meV/atom
symmetry	Fmm2, No. 42
final energy	-5.087	eV/atom

---

Entry 3:
A plane-wave DFT calculation with PBE was carried out for a geometry-optimized DyY3Ga3 structure.

Cell: 4.8026 9.1508 9.1508 Å, 120.00 90.00 90.00°
Closest atoms and distances in Å follow each position.
Sites, in units of the cell vectors:
Dy1 0.2500 0.6667 0.3333  9 Ga 3.18-3.32
Dy2 0.7500 0.3333 0.6667  9 Ga 3.18-3.32
Y1 0.7500 0.7599 0.7441  4 Ga 2.94-3.05
Y2 0.7500 0.2559 0.0158  4 Ga 2.94-3.05
Y3 0.7500 0.9842 0.2401  4 Ga 2.94-3.05
Y4 0.2500 0.2401 0.2559  4 Ga 2.94-3.05
Y5 0.2500 0.7441 0.9842  4 Ga 2.94-3.05
Y6 0.2500 0.0158 0.7599  4 Ga 2.94-3.05
Ga1 0.2500 0.5499 0.6080  4 Y 2.94-3.05, 2 Ga 2.95, 1 Dy 3.18
Ga2 0.2500 0.3920 0.9419  4 Y 2.94-3.05, 2 Ga 2.95, 1 Dy 3.18
Ga3 0.2500 0.0581 0.4501  4 Y 2.94-3.05, 2 Ga 2.95, 1 Dy 3.18
Ga4 0.7500 0.4501 0.3920  4 Y 2.94-3.05, 2 Ga 2.95, 1 Dy 3.18
Ga5 0.7500 0.6080 0.0581  4 Y 2.94-3.05, 2 Ga 2.95, 1 Dy 3.18
Ga6 0.7500 0.9419 0.5499  4 Y 2.94-3.05, 2 Ga 2.95, 1 Dy 3.18

Properties
total magnetization	0.00	μB/cell
energy of formation from the pure elements	-431	meV/atom
symmetry	P6_3/m, No. 176
final energy	-5.156	eV/atom

---

Entry 4:
A plane-wave DFT calculation with PBE was carried out for a geometry-optimized Ba2Cd9Pd3 structure.

Cell: 8.6636 8.6636 11.7399 Å, 89.86 109.65 123.20°
Closest atoms and distances in Å follow each position.
Sites, in units of the cell vectors:
Ba1 0.3631 0.2564 0.7599  11 Cd 3.45-3.58, 3 Pd 3.54-3.86
Ba2 0.6369 0.7436 0.2401  11 Cd 3.45-3.58, 3 Pd 3.54-3.86
Ba3 0.9965 0.6032 0.7401  11 Cd 3.45-3.58, 3 Pd 3.54-3.86
Ba4 0.0035 0.3968 0.2599  11 Cd 3.45-3.58, 3 Pd 3.54-3.86
Cd1 0.4785 0.9339 0.7450  2 Pd 2.90-2.97, 6 Cd 3.06-3.19
Cd2 0.5215 0.0661 0.2550  2 Pd 2.90-2.97, 6 Cd 3.06-3.19
Cd3 0.6889 0.7335 0.7550  2 Pd 2.90-2.97, 6 Cd 3.06-3.19
Cd4 0.3111 0.2665 0.2450  2 Pd 2.90-2.97, 6 Cd 3.06-3.19
Cd5 0.4473 0.6493 0.9189  3 Pd 2.81-3.00, 2 Cd 2.99-3.11
Cd6 0.5527 0.3507 0.0811  3 Pd 2.81-3.00, 2 Cd 2.99-3.11
Cd7 0.2304 0.5284 0.5811  3 Pd 2.81-3.01, 2 Cd 2.99-3.11
Cd8 0.7696 0.4716 0.4189  3 Pd 2.81-3.01, 2 Cd 2.99-3.11
Cd9 0.9100 0.1600 0.7500  2 Pd 2.90, 4 Cd 3.11-3.16
Cd10 0.0900 0.8400 0.2500  2 Pd 2.90, 4 Cd 3.11-3.16
Cd11 0.1396 0.9906 0.9604  3 Pd 2.93-2.97, 4 Cd 2.95-3.19
Cd12 0.8604 0.0094 0.0396  3 Pd 2.93-2.97, 4 Cd 2.95-3.19
Cd13 0.5302 0.1792 0.5396  3 Pd 2.93-2.97, 4 Cd 2.95-3.19
Cd14 0.4698 0.8208 0.4604  3 Pd 2.93-2.97, 4 Cd 2.95-3.19
Cd15 0.8679 0.8670 0.5608  3 Pd 2.86-2.97, 4 Cd 3.00-3.16
Cd16 0.1321 0.1330 0.4392  3 Pd 2.86-2.97, 4 Cd 3.00-3.16
Cd17 0.8062 0.3071 0.9392  3 Pd 2.86-2.97, 4 Cd 3.00-3.16
Cd18 0.1938 0.6929 0.0608  3 Pd 2.86-2.97, 4 Cd 3.00-3.16
Pd1 0.5000 0.0000 0.0000  8 Cd 2.86-2.97
Pd2 0.5000 0.5000 0.5000  8 Cd 2.86-2.97
Pd3 0.8478 0.1808 0.4931  8 Cd 2.81-3.01
Pd4 0.1522 0.8192 0.5069  8 Cd 2.81-3.01
Pd5 0.1876 0.3547 0.0069  8 Cd 2.81-3.00
Pd6 0.8124 0.6453 0.9931  8 Cd 2.81-3.00

Properties
total magnetization	0.00	μB/cell
energy of formation from the pure elements	-331	meV/atom
symmetry	C2/c, No. 15
final energy	-2.307	eV/atom

---

Entry 5:
A plane-wave DFT calculation with PBE was carried out for a geometry-optimized NaSeI4 structure.

Cell: 4.6421 7.6707 14.1072 Å, 103.98 90.00 90.00°
Closest atoms and distances in Å follow each position.
Sites, in units of the cell vectors:
Na1 0.0000 0.5000 0.5000  6 I 3.24-3.25
Na2 0.5000 0.5000 0.0000  6 I 3.24-3.25
Se1 0.5000 0.0000 0.5000  4 I 2.77-2.83
Se2 0.0000 0.0000 0.0000  4 I 2.77-2.83
I1 0.4980 0.6468 0.3787  1 Se 2.83
I2 0.9980 0.3532 0.1213  1 Se 2.83
I3 0.5020 0.3532 0.6213  1 Se 2.83
I4 0.0020 0.6468 0.8787  1 Se 2.83
I5 0.8978 0.0927 0.3740  1 Se 2.77
I6 0.3978 0.9073 0.1260  1 Se 2.77
I7 0.1022 0.9073 0.6260  1 Se 2.77
I8 0.6022 0.0927 0.8740  1 Se 2.77

Properties
total magnetization	0.00	μB/cell
energy above the lowest structure with this stoichiometry	0.000	eV/atom
symmetry	P2_1/c, No. 14
formation energy without anion corrections	-7.97	kcal/mol of atoms
final energy	-2.180	eV/atom

---

Entry 6:
A plane-wave DFT calculation with PBE was carried out for a geometry-optimized Tl3ReB structure.

Cell: 5.3400 5.3400 5.3400 Å, 90.00 90.00 90.00°
Closest atoms and distances in Å follow each position.
Sites, in units of the cell vectors:
Re1 0.0000 0.0000 0.0000  6 Tl 2.67
Tl1 0.0000 0.5000 0.0000  2 Re 2.67
Tl2 0.0000 0.0000 0.5000  2 Re 2.67
Tl3 0.5000 0.0000 0.0000  2 Re 2.67
B1 0.5000 0.5000 0.5000  12 Tl 3.78

Properties
total magnetization	0.26	μB/cell
energy above the lowest structure with this stoichiometry	0.000	eV/atom
energy of formation from the pure elements	1585	meV/atom
symmetry	Pm-3m, No. 221
final energy	-3.659	eV/atom

---

Entry 7:
A plane-wave DFT calculation with PBE was carried out for a geometry-optimized SrAsBr2Cl structure.

Cell: 5.7187 5.7187 10.4653 Å, 90.00 90.00 90.00°
Closest atoms and distances in Å follow each position.
Sites, in units of the cell vectors:
Sr1 0.0000 0.0000 0.0000  4 Br 2.86
As1 0.0000 0.0000 0.5000  4 Cl 4.04
Br1 0.0000 0.5000 0.0000  2 Sr 2.86
Br2 0.5000 0.0000 0.0000  2 Sr 2.86
Cl1 0.5000 0.5000 0.5000  4 As 4.04

Properties
total magnetization	2.09	μB/cell
energy above the lowest structure with this stoichiometry	0.015	eV/atom
symmetry	P4/mmm, No. 123
formation energy without anion corrections	-8.29	kcal/mol of atoms
final energy	-2.664	eV/atom

---

Entry 8:
A plane-wave DFT calculation with PBE was carried out for a geometry-optimized CeSCl structure.

Cell: 3.6991 3.9523 12.7921 Å, 90.00 98.31 90.00°
Closest atoms and distances in Å follow each position.
Sites, in units of the cell vectors:
Ce1 0.3943 0.7500 0.2886  2 Cl 2.76, 4 S 2.85
Ce2 0.6057 0.2500 0.7114  2 Cl 2.76, 4 S 2.85
S1 0.9295 0.2500 0.3590  4 Ce 2.85
S2 0.0705 0.7500 0.6410  4 Ce 2.85
Cl1 0.1867 0.2500 0.8733  2 Ce 2.76
Cl2 0.8133 0.7500 0.1267  2 Ce 2.76

Properties
total magnetization	1.93	μB/cell
symmetry	Cmcm, No. 63
formation energy without anion corrections	-44.56	kcal/mol of atoms
final energy	-5.902	eV/atom

---

Entry 9:
A plane-wave DFT calculation with PBE was carried out for a geometry-optimized LaHoCdPb structure.

Cell: 5.4704 5.4704 5.4704 Å, 60.00 60.00 60.00°
Closest atoms and distances in Å follow each position.
Sites, in units of the cell vectors:
Pb1 0.2500 0.2500 0.2500  4 Ho 3.35, 4 La 3.35
Cd1 0.7500 0.7500 0.7500  4 La 3.35, 4 Ho 3.35
Ho1 0.5000 0.5000 0.5000  4 Cd 3.35, 4 Pb 3.35
La1 0.0000 0.0000 0.0000  4 Pb 3.35, 4 Cd 3.35

Properties
total magnetization	0.00	μB/cell
energy of formation from the pure elements	-419	meV/atom
symmetry	F-43m, No. 216
final energy	-3.951	eV/atom

---

Entry 10:
A plane-wave DFT calculation with PBE was carried out for a geometry-optimized Tb6DyTl5 structure.

Cell: 5.0187 8.8512 9.1622 Å, 118.88 105.90 90.00°
Closest atoms and distances in Å follow each position.
Sites, in units of the cell vectors:
Tl1 0.6479 0.1479 0.2958  8 Tb 3.30-3.47, 2 Dy 3.37, 2 Tl 3.65
Tl2 0.3215 0.3215 0.6429  8 Tb 3.27-3.39, 2 Tl 3.65
Tl3 0.0000 0.5000 0.0000  8 Tb 3.22-3.33
Tl4 0.6785 0.6785 0.3571  8 Tb 3.27-3.39, 2 Tl 3.65
Tl5 0.3521 0.8521 0.7042  8 Tb 3.30-3.47, 2 Dy 3.37, 2 Tl 3.65
Tb1 0.8296 0.5661 0.6593  7 Tl 3.27-3.47, 1 Dy 3.49, 4 Tb 3.50-3.61
Tb2 0.8297 0.0932 0.6593  7 Tl 3.27-3.47, 1 Dy 3.49, 4 Tb 3.50-3.61
Tb3 0.5000 0.7275 0.0000  6 Tl 3.22-3.39, 2 Dy 3.48
Tb4 0.5000 0.2725 0.0000  6 Tl 3.22-3.39, 2 Dy 3.48
Tb5 0.1703 0.9068 0.3407  7 Tl 3.27-3.47, 1 Dy 3.49, 4 Tb 3.50-3.61
Tb6 0.1704 0.4339 0.3407  7 Tl 3.27-3.47, 1 Dy 3.49, 4 Tb 3.50-3.61
Dy1 0.0000 0.0000 0.0000  4 Tl 3.37, 8 Tb 3.48-3.49

Properties
total magnetization	0.00	μB/cell
energy above the lowest structure with this stoichiometry	0.000	eV/atom
energy of formation from the pure elements	-281	meV/atom
symmetry	Immm, No. 71
final energy	-3.965	eV/atom

---

Entry 11:
A plane-wave DFT calculation with PBE was carried out for a geometry-optimized AsRuPt2Se structure.

Cell: 4.7097 4.5618 4.7097 Å, 90.00 90.00 90.00°
Closest atoms and distances in Å follow each position.
Sites, in units of the cell vectors:
Ru1 0.0000 0.5000 0.0000  2 Se 2.28
As1 0.5000 0.5000 0.5000  8 Pt 3.28, 4 Ru 3.33
Se1 0.0000 0.0000 0.0000  2 Ru 2.28, 4 Pt 2.35
Pt1 0.0000 0.0000 0.5000  2 Se 2.35
Pt2 0.5000 0.0000 0.0000  2 Se 2.35

Properties
total magnetization	0.31	μB/cell
symmetry	P4/mmm, No. 123
formation energy without anion corrections	20.38	kcal/mol of atoms
final energy	-5.015	eV/atom

---

Entry 12:
A plane-wave DFT calculation with PBE was carried out for a geometry-optimized BaSi2Tc structure.

Cell: 4.6175 4.2988 4.2988 Å, 90.00 90.00 90.00°
Closest atoms and distances in Å follow each position.
Sites, in units of the cell vectors:
Ba1 0.5000 0.0000 0.5000  4 Tc 3.04, 8 Si 3.15
Si1 0.0000 0.0000 0.0000  4 Si 3.04, 4 Ba 3.15, 4 Tc 3.15
Si2 0.0000 0.5000 0.5000  4 Si 3.04, 4 Ba 3.15, 4 Tc 3.15
Tc1 0.5000 0.5000 0.0000  4 Ba 3.04, 8 Si 3.15

Properties
total magnetization	1.69	μB/cell
energy above the lowest structure with this stoichiometry	1.145	eV/atom
symmetry	P4/mmm, No. 123
formation energy without anion corrections	20.22	kcal/mol of atoms
final energy	-4.907	eV/atom

---

Question: What is the total magnetization in the sixth record?
Answer: 0.26 μB/cell

---

Question: Which of these has the highest final energy?
Answer: NaSeI4

---

What did the twelfth record say?
A plane-wave DFT calculation with PBE was carried out for a geometry-optimized BaSi2Tc structure.

Cell: 4.6175 4.2988 4.2988 Å, 90.00 90.00 90.00°
Closest atoms and distances in Å follow each position.
Sites, in units of the cell vectors:
Ba1 0.5000 0.0000 0.5000  4 Tc 3.04, 8 Si 3.15
Si1 0.0000 0.0000 0.0000  4 Si 3.04, 4 Ba 3.15, 4 Tc 3.15
Si2 0.0000 0.5000 0.5000  4 Si 3.04, 4 Ba 3.15, 4 Tc 3.15
Tc1 0.5000 0.5000 0.0000  4 Ba 3.04, 8 Si 3.15

Properties
total magnetization	1.69	μB/cell
energy above the lowest structure with this stoichiometry	1.145	eV/atom
symmetry	P4/mmm, No. 123
formation energy without anion corrections	20.22	kcal/mol of atoms
final energy	-4.907	eV/atom